A relaxed BiHBr crystal, computed with PBE.

Cell and atoms, written as extended XYZ:
```
24
Lattice="0.000 6.215 15.266 3.459 0.000 15.266 3.459 6.215 0.000" Properties=species:S:1:pos:R:3 pbc="T T T"
Bi 0.865 1.554 0.284
Bi 0.865 1.554 3.817
Bi 0.865 1.554 7.349
Bi 2.594 4.661 11.450
Bi 4.323 7.768 19.083
Bi 6.053 10.875 23.184
Bi 6.053 10.875 26.716
Bi 6.053 10.875 30.249
H 5.692 5.756 13.278
H 3.962 6.673 5.645
H 3.962 2.649 17.255
H 1.226 2.649 5.645
H 5.692 9.780 24.888
H 2.955 9.780 13.278
H 2.955 5.756 24.888
H 1.226 6.673 17.255
Br 2.738 2.667 9.407
Br 2.451 2.667 13.493
Br 4.180 5.774 17.040
Br 2.451 6.655 9.407
Br 4.467 5.774 21.126
Br 2.738 6.655 13.493
Br 4.467 9.762 17.040
Br 4.180 9.762 21.126
```

Output
The total magnetization comes out at 0.00 μB/cell. The crystal system is orthorhombic. The calculation puts the total energy at -70.6 eV/cell.

=====

A relaxed HgBi2HBr crystal, computed with PBE.

Cell and atoms, written as extended XYZ:
```
5
Lattice="4.747 0.000 0.000 0.000 4.747 0.000 0.000 0.000 5.633" Properties=species:S:1:pos:R:3 pbc="T T T"
Hg 0.000 0.000 0.000
Bi 0.000 2.373 2.817
Bi 2.373 0.000 2.817
H 0.000 0.000 2.817
Br 2.373 2.373 0.000
```

Output
The total magnetization comes out at 0.00 μB/cell. The crystal system is tetragonal. The calculation puts the total energy at -11.4 eV/cell.

=====

A relaxed InBiHBrN crystal, computed with PBE.

Cell and atoms, written as extended XYZ:
```
5
Lattice="3.572 0.000 0.000 0.022 3.578 0.000 1.453 1.484 8.972" Properties=species:S:1:pos:R:3 pbc="T T T"
In 0.000 0.000 0.000
Bi 3.130 3.240 6.143
H 0.799 2.897 2.037
Br 1.432 2.100 3.192
N 1.344 3.255 7.554
```

Output
The total magnetization comes out at 0.00 μB/cell. The crystal system is triclinic. The calculation puts the total energy at -18.9 eV/cell.

=====

A relaxed InBiHBrN crystal, computed with PBE.

Cell and atoms, written as extended XYZ:
```
5
Lattice="3.438 0.000 0.000 0.012 4.967 0.000 1.693 1.294 6.337" Properties=species:S:1:pos:R:3 pbc="T T T"
In 0.000 0.000 0.000
Bi 3.437 1.848 2.534
H 3.437 3.412 1.380
Br 1.711 3.832 4.599
N 1.717 0.828 1.381
```

Output
The total magnetization comes out at 0.00 μB/cell. The crystal system is triclinic. The calculation puts the total energy at -18.3 eV/cell.

=====

A relaxed InBiHBrN crystal, computed with PBE.

Cell and atoms, written as extended XYZ:
```
5
Lattice="3.599 0.000 0.000 0.000 3.762 0.000 -0.056 0.000 7.661" Properties=species:S:1:pos:R:3 pbc="T T T"
In 0.000 0.000 0.000
Bi 1.744 1.881 4.983
H 3.596 1.881 0.287
Br 1.796 0.000 2.294
N 1.743 0.000 6.352
```

Output
The total magnetization comes out at 0.00 μB/cell. The crystal system is monoclinic. The calculation puts the total energy at -19.8 eV/cell.

=====

A relaxed InBiHBrN crystal, computed with PBE.

Cell and atoms, written as extended XYZ:
```
5
Lattice="3.547 0.000 0.000 -1.773 3.072 0.000 -1.727 -1.040 10.579" Properties=species:S:1:pos:R:3 pbc="T T T"
In 0.000 0.000 0.000
Bi 0.004 2.064 5.738
H 0.047 -0.015 8.791
Br -0.001 2.048 2.013
N 0.046 -0.015 9.822
```

Output
The total magnetization comes out at 0.02 μB/cell. The crystal system is triclinic. The calculation puts the total energy at -20.7 eV/cell.

=====

A relaxed InBiHBrN crystal, computed with PBE.

Cell and atoms, written as extended XYZ:
```
10
Lattice="4.086 0.000 0.000 0.000 3.854 0.000 0.000 0.000 14.136" Properties=species:S:1:pos:R:3 pbc="T T T"
In 0.000 0.000 0.000
In 0.000 1.927 7.068
Bi 2.043 0.000 9.353
Bi 2.043 1.927 2.285
H 0.000 0.000 8.788
H 0.000 1.927 1.720
Br 0.000 0.000 5.005
Br 0.000 1.927 12.073
N 2.043 0.000 0.907
N 2.043 1.927 7.975
```

Output
The total magnetization comes out at 0.00 μB/cell. The crystal system is orthorhombic. The calculation puts the total energy at -38.8 eV/cell.

=====

A relaxed InBiHBrN crystal, computed with PBE.

Cell and atoms, written as extended XYZ:
```
10
Lattice="6.499 0.000 0.000 0.000 3.768 0.000 -2.185 0.000 8.243" Properties=species:S:1:pos:R:3 pbc="T T T"
In 0.000 0.000 0.000
In 3.250 1.884 0.000
Bi 2.178 0.000 2.938
Bi 5.427 1.884 2.938
H -0.007 0.000 2.792
H 3.242 1.884 2.792
Br 1.086 1.884 5.618
Br 4.335 0.000 5.618
N 2.169 0.000 0.616
N 5.419 1.884 0.616
```

Output
The total magnetization comes out at 0.00 μB/cell. The crystal system is monoclinic. The calculation puts the total energy at -39.0 eV/cell.

=====

A relaxed InBiHBrN crystal, computed with PBE.

Cell and atoms, written as extended XYZ:
```
5
Lattice="3.586 0.000 0.000 -1.753 3.128 0.000 -0.668 -1.062 12.053" Properties=species:S:1:pos:R:3 pbc="T T T"
In 0.000 0.000 0.000
Bi 1.128 -0.014 8.999
H 1.018 1.899 5.207
Br -0.143 2.578 4.672
N 1.128 -0.014 11.252
```

Output
The total magnetization comes out at 0.00 μB/cell. The crystal system is triclinic. The calculation puts the total energy at -18.9 eV/cell.

=====

A relaxed InBiHBrN crystal, computed with PBE.

Cell and atoms, written as extended XYZ:
```
5
Lattice="3.584 0.000 0.000 -1.754 5.701 0.000 -1.640 -0.530 6.366" Properties=species:S:1:pos:R:3 pbc="T T T"
In 0.000 0.000 0.000
Bi 0.153 1.800 4.309
H 0.183 3.489 5.540
Br -1.718 4.873 2.516
N 0.152 0.512 6.020
```

Output
The total magnetization comes out at 0.00 μB/cell. The crystal system is triclinic. The calculation puts the total energy at -19.5 eV/cell.

=====

A relaxed InBiHBrN crystal, computed with PBE.

Cell and atoms, written as extended XYZ:
```
5
Lattice="3.525 0.000 0.000 1.762 3.444 0.000 1.732 -0.412 8.031" Properties=species:S:1:pos:R:3 pbc="T T T"
In 0.000 0.000 0.000
Bi 3.535 1.980 2.921
H 3.508 0.110 2.499
Br 3.499 0.203 5.894
N 3.525 2.202 0.647
```

Output
The total magnetization comes out at 0.00 μB/cell. The crystal system is triclinic. The calculation puts the total energy at -19.6 eV/cell.

=====

A relaxed LiBi2HBr crystal, computed with PBE.

Cell and atoms, written as extended XYZ:
```
5
Lattice="6.109 0.000 0.000 0.000 6.109 0.000 0.000 0.000 3.491" Properties=species:S:1:pos:R:3 pbc="T T T"
Li 0.000 0.000 0.000
Bi 0.000 3.055 1.746
Bi 3.055 0.000 1.746
H 3.055 3.055 0.000
Br 3.055 3.055 1.746
```

Output
The total magnetization comes out at 0.00 μB/cell. The crystal system is tetragonal. The calculation puts the total energy at -13.3 eV/cell.